# AcCoAs2Ru

An optimized crystal structure of AcCoAs2Ru (PBE, Alexandria via LeMat-Bulk).

## Properties
* calculated total energy: -6.6618 eV/atom
* DOS(E_F): 5.3 states/eV per cell
* energy relative to the elements: -67.9 kJ per mole of atoms
* M_tot: 0.0 Bohr magnetons per cell

Structure (POSCAR):
```
AcCoAs2Ru
1.0
4.035 0.000 0.000
0.000 4.035 0.000
0.000 0.000 12.048
Ac Co As Ru
2 2 4 2
direct
0.000 0.000 0.000
0.500 0.500 0.500
0.000 0.500 0.250
0.500 0.000 0.750
0.000 0.000 0.358
0.000 0.000 0.642
0.500 0.500 0.142
0.500 0.500 0.858
0.000 0.500 0.750
0.500 0.000 0.250
```